[1]
DFT (PBE-GGA) results for crystalline Cs3SrPu2I9 at its relaxed geometry.

Computed properties:
- uncorrected energy (eV per atom) = -4.47
- mass density (g/cm3) = 4.53
- size of the total moment (μB/cell) = 12.0
- crystal system = trigonal

```
data_Cs3SrPu2I9
_chemical_formula_sum 'Cs3 Sr1 Pu2 I9'
_symmetry_space_group_name_H-M 'P -3 m 1'
_symmetry_Int_Tables_number 164
_symmetry_space_group_name_Hall '-P 3 2"'
_cell_length_a 9.0025
_cell_length_b 9.0025
_cell_length_c 11.0585
_cell_angle_alpha 90.00
_cell_angle_beta 90.00
_cell_angle_gamma 120.00
loop_
_atom_site_label
_atom_site_fract_x
_atom_site_fract_y
_atom_site_fract_z
Cs1 0.0000 0.0000 0.0000
Cs2 0.3333 0.6667 0.6791
Sr1 0.0000 0.0000 0.5000
Pu1 0.3333 0.6667 0.1624
I1 0.0000 0.5000 0.0000
I2 0.1676 0.3352 0.3283
```


[2]
DFT (PBE-GGA) results for crystalline CsSrPuI6 at its relaxed geometry.

Computed properties:
- uncorrected energy (eV per atom) = -4.31
- mass density (g/cm3) = 4.01
- size of the total moment (μB/cell) = 10.0
- crystal system = trigonal

```
data_CsSrPuI6
_chemical_formula_sum 'Cs2 Sr2 Pu2 I12'
_symmetry_space_group_name_H-M 'P -3 1 c'
_symmetry_Int_Tables_number 163
_symmetry_space_group_name_Hall '-P 3 2c'
_cell_length_a 8.2967
_cell_length_b 8.2967
_cell_length_c 17.0196
_cell_angle_alpha 90.00
_cell_angle_beta 90.00
_cell_angle_gamma 120.00
loop_
_atom_site_label
_atom_site_fract_x
_atom_site_fract_y
_atom_site_fract_z
Cs1 0.0000 0.0000 0.0000
Sr1 0.3333 0.6667 0.2500
Pu1 0.3333 0.6667 0.7500
I1 0.0172 0.3831 0.6404
```


[3]
DFT (PBE-GGA) results for crystalline CsSrPu2I8 at its relaxed geometry.

Computed properties:
- uncorrected energy (eV per atom) = -4.91
- mass density (g/cm3) = 4.75
- size of the total moment (μB/cell) = 11.0
- crystal system = triclinic

```
data_CsSrPu2I8
_chemical_formula_sum 'Cs1 Sr1 Pu2 I8'
_symmetry_space_group_name_H-M 'P -1'
_symmetry_Int_Tables_number 2
_cell_length_a 7.608
_cell_length_b 8.047
_cell_length_c 9.855
_cell_angle_alpha 90.27
_cell_angle_beta 90.28
_cell_angle_gamma 91.44
loop_
_symmetry_equiv_pos_as_xyz
'x,y,z'
'-x,-y,-z'
loop_
_atom_site_label
_atom_site_fract_x
_atom_site_fract_y
_atom_site_fract_z
Cs1 0.000 0.000 0.000
Sr1 0.000 0.000 0.500
Pu1 0.500 0.500 0.254
I1 0.263 0.648 0.500
I2 0.271 0.171 0.281
I3 0.271 0.614 0.000
I4 0.272 0.170 0.722
```


Please write out number 1 again, unchanged.
DFT (PBE-GGA) results for crystalline Cs3SrPu2I9 at its relaxed geometry.

Computed properties:
- uncorrected energy (eV per atom) = -4.47
- mass density (g/cm3) = 4.53
- size of the total moment (μB/cell) = 12.0
- crystal system = trigonal

```
data_Cs3SrPu2I9
_chemical_formula_sum 'Cs3 Sr1 Pu2 I9'
_symmetry_space_group_name_H-M 'P -3 m 1'
_symmetry_Int_Tables_number 164
_symmetry_space_group_name_Hall '-P 3 2"'
_cell_length_a 9.0025
_cell_length_b 9.0025
_cell_length_c 11.0585
_cell_angle_alpha 90.00
_cell_angle_beta 90.00
_cell_angle_gamma 120.00
loop_
_atom_site_label
_atom_site_fract_x
_atom_site_fract_y
_atom_site_fract_z
Cs1 0.0000 0.0000 0.0000
Cs2 0.3333 0.6667 0.6791
Sr1 0.0000 0.0000 0.5000
Pu1 0.3333 0.6667 0.1624
I1 0.0000 0.5000 0.0000
I2 0.1676 0.3352 0.3283
```


Which value of mass density does entry 1 give? 4.53 g/cm3


Among the records above, which one has the highest mass density? CsSrPu2I8


Which formula does entry 2 have? CsSrPuI6